Record 1
{"formula": "MgTeW2", "functional": "GGA-PBE", "state": "optimized geometry", "m_tot_mub_per_atom": 0.006, "e_form_raw_ev_per_atom": 0.919, "rho_g_cm3": 11.82, "e_above_lowest_polymorph_kj_per_mol_atoms": 52.1, "lattice": [[-0.839, 0.582, 3.044], [1.169, -2.861, 0.869], [6.333, 2.948, 1.183]], "species": ["W", "W", "Te", "Mg"], "fractional_positions": [[0.000, 0.000, 0.982], [0.000, 0.000, 0.518], [0.500, 0.500, 0.750], [0.500, 0.500, 0.250]]}

Record 2
{"formula": "Mg2TeW", "functional": "GGA-PBE", "state": "optimized geometry", "m_tot_mub_per_atom": 0.000, "e_form_raw_ev_per_atom": 0.335, "rho_g_cm3": 6.92, "lattice": [[-2.757, 0.779, 0.904], [-0.437, -0.043, -2.972], [-2.485, -9.374, 0.501]], "species": ["W", "Mg", "Mg", "Te"], "fractional_positions": [[0.500, 0.500, 0.750], [0.000, 0.000, 0.960], [0.000, 0.000, 0.540], [0.500, 0.500, 0.250]]}

Record 3
{"formula": "MgTeW2", "functional": "GGA-PBE", "state": "optimized geometry", "m_tot_mub_per_atom": 0.000, "e_form_raw_ev_per_atom": 0.379, "rho_g_cm3": 9.87, "e_above_lowest_polymorph_kj_per_mol_atoms": 0.0, "lattice": [[-0.049, -0.408, -3.202], [3.186, -0.726, 0.044], [1.140, -8.692, 1.091]], "species": ["Te", "W", "W", "Mg"], "fractional_positions": [[0.500, 0.079, 0.782], [0.000, 0.810, 0.061], [0.500, 0.160, 0.216], [0.000, 0.450, 0.441]]}

Record 4
{"formula": "MgTeW2", "functional": "GGA-PBE", "state": "optimized geometry", "m_tot_mub_per_atom": 0.000, "e_form_raw_ev_per_atom": 0.707, "rho_g_cm3": 11.78, "e_above_lowest_polymorph_kj_per_mol_atoms": 31.7, "lattice": [[3.386, 0.000, 0.000], [0.000, 4.508, 0.000], [0.000, 0.000, 4.799]], "species": ["Te", "W", "W", "Mg"], "fractional_positions": [[0.000, 0.500, 0.500], [0.500, 0.500, 0.000], [0.000, 0.000, 0.000], [0.500, 0.000, 0.500]]}

Record 5
{"formula": "Mg2TeW", "functional": "GGA-PBE", "state": "optimized geometry", "m_tot_mub_per_atom": 0.000, "e_form_raw_ev_per_atom": 0.340, "rho_g_cm3": 6.86, "lattice": [[-0.679, 2.853, -0.605], [-1.454, 0.207, 2.609], [8.205, 2.875, 4.345]], "species": ["Mg", "Te", "W", "Mg"], "fractional_positions": [[0.000, 0.000, 0.957], [0.500, 0.500, 0.250], [0.500, 0.500, 0.750], [0.000, 0.000, 0.543]]}

Record 6
{"formula": "Mg2TeW", "functional": "GGA-PBE", "state": "optimized geometry", "m_tot_mub_per_atom": 0.328, "e_form_raw_ev_per_atom": 0.640, "rho_g_cm3": 7.49, "lattice": [[-4.755, -0.015, -0.861], [-1.642, -0.759, -4.481], [-2.247, -4.139, -1.081]], "species": ["Mg", "Mg", "Te", "W"], "fractional_positions": [[0.000, 0.000, 0.000], [0.250, 0.250, 0.250], [0.500, 0.500, 0.500], [0.750, 0.750, 0.750]]}

Record 7
{"formula": "MgTeW2", "functional": "GGA-PBE", "state": "optimized geometry", "m_tot_mub_per_atom": 0.000, "e_form_raw_ev_per_atom": 0.585, "rho_g_cm3": 11.55, "e_above_lowest_polymorph_kj_per_mol_atoms": 19.9, "lattice": [[5.059, 0.006, 0.010], [3.925, 3.192, 0.010], [1.557, 0.554, 4.637]], "species": ["W", "Te", "W", "Mg"], "fractional_positions": [[0.729, 0.729, 0.740], [0.261, 0.261, 0.237], [0.021, 0.021, 0.996], [0.490, 0.490, 0.527]]}

Record 8
{"formula": "Mg2TeW", "functional": "GGA-PBE", "state": "optimized geometry", "m_tot_mub_per_atom": 0.000, "e_form_raw_ev_per_atom": 0.400, "rho_g_cm3": 7.06, "lattice": [[-3.026, 4.280, -2.676], [-5.336, -1.269, -2.135], [3.492, 0.293, 4.728]], "species": ["Mg", "W", "Te", "Mg"], "fractional_positions": [[0.743, 0.243, 0.500], [0.263, 0.763, 0.500], [0.470, 0.470, 0.000], [0.025, 0.025, 0.000]]}